[1]
Compound: LuCdInS3
Source: the Open Quantum Materials Database
Functional: PBE
Structure: relaxed

Unit cell a=14.253 b=4.012 c=10.981 alpha=90.00 beta=90.00 gamma=90.00
Fractional positions:
1 Lu 0.026 0.250 0.150
2 Lu 0.474 0.750 0.650
3 Lu 0.526 0.250 0.350
4 Lu 0.974 0.750 0.850
5 Cd 0.036 0.750 0.399
6 Cd 0.464 0.250 0.899
7 Cd 0.536 0.750 0.101
8 Cd 0.964 0.250 0.601
9 In 0.241 0.750 0.966
10 In 0.259 0.250 0.466
11 In 0.741 0.750 0.534
12 In 0.759 0.250 0.034
13 S 0.076 0.750 0.633
14 S 0.092 0.250 0.925
15 S 0.142 0.750 0.214
16 S 0.358 0.250 0.714
17 S 0.408 0.750 0.425
18 S 0.424 0.250 0.133
19 S 0.576 0.750 0.867
20 S 0.592 0.250 0.575
21 S 0.642 0.750 0.286
22 S 0.858 0.250 0.786
23 S 0.908 0.750 0.075
24 S 0.924 0.250 0.367

Results
ρ   5272 kg/m³
Volume   628 Å³/cell
Space-group type   Pnma
Energy relative to the lowest polymorph listed for this composition   0.00 kcal/mol of atoms


[2]
Compound: Ho3NiSn3Pd2
Source: the Open Quantum Materials Database
Functional: PBE
Structure: relaxed

Unit cell a=7.504 b=7.504 c=3.900 alpha=90.00 beta=90.00 gamma=120.00
Fractional positions:
1 Ho 0.000 0.403 0.000
2 Ho 0.403 0.000 0.000
3 Ho 0.597 0.597 0.000
4 Ni 0.000 0.000 0.000
5 Sn 0.000 0.750 0.500
6 Sn 0.250 0.250 0.500
7 Sn 0.750 0.000 0.500
8 Pd 0.333 0.667 0.500
9 Pd 0.667 0.333 0.500

Results
ρ   9802 kg/m³
Volume   190 Å³/cell
Space-group type   P-62m


[3]
Compound: CsLiPu
Source: the Open Quantum Materials Database
Functional: PBE
Structure: relaxed

Unit cell a=5.909 b=5.909 c=5.909 alpha=60.00 beta=60.00 gamma=60.00
Fractional positions:
1 Cs 0.000 0.000 0.000
2 Li 0.500 0.500 0.500
3 Pu 0.250 0.250 0.250

Results
ρ   4369 kg/m³
Volume   146 Å³/cell
Space-group type   F-43m
Energy relative to the lowest polymorph listed for this composition   0.00 kcal/mol of atoms


[4]
Compound: DyLuRe
Source: the Open Quantum Materials Database
Functional: PBE
Structure: relaxed

Unit cell a=4.729 b=4.729 c=4.729 alpha=60.00 beta=60.00 gamma=60.00
Fractional positions:
1 Dy 0.000 0.000 0.000
2 Lu 0.250 0.250 0.250
3 Re 0.500 0.500 0.500

Results
ρ   11627 kg/m³
Energy of formation   1084.3 meV/atom
Volume   75 Å³/cell
Space-group type   F-43m
Energy relative to the lowest polymorph listed for this composition   0.00 kcal/mol of atoms


[5]
Compound: MgAlBPt
Source: the Open Quantum Materials Database
Functional: PBE
Structure: relaxed

Unit cell a=4.220 b=4.220 c=4.220 alpha=60.00 beta=60.00 gamma=60.00
Fractional positions:
1 Mg 0.000 0.000 0.000
2 Al 0.250 0.250 0.250
3 B 0.750 0.750 0.750
4 Pt 0.500 0.500 0.500

Results
ρ   8034 kg/m³
Volume   53 Å³/cell
Space-group type   F-43m
Energy relative to the lowest polymorph listed for this composition   1.31 kcal/mol of atoms


[6]
Compound: LaGdSbBr2
Source: the Open Quantum Materials Database
Functional: PBE
Structure: relaxed

Unit cell a=4.360 b=4.360 c=11.076 alpha=90.00 beta=90.00 gamma=120.00
Fractional positions:
1 La 0.000 0.000 0.000
2 Gd 0.667 0.333 0.675
3 Sb 0.333 0.667 0.829
4 Br 0.000 0.000 0.524
5 Br 0.667 0.333 0.163

Results
ρ   5262 kg/m³
Volume   182 Å³/cell
Space-group type   P3m1


[7]
Compound: GaHgAsO
Source: the Open Quantum Materials Database
Functional: PBE
Structure: relaxed

Unit cell a=3.924 b=3.924 c=9.467 alpha=90.00 beta=90.00 gamma=90.00
Fractional positions:
1 Ga 0.250 0.250 0.087
2 Ga 0.750 0.750 0.913
3 Hg 0.250 0.750 0.500
4 Hg 0.750 0.250 0.500
5 As 0.250 0.250 0.714
6 As 0.750 0.750 0.286
7 O 0.250 0.750 0.000
8 O 0.750 0.250 0.000

Results
ρ   8228 kg/m³
Volume   146 Å³/cell
Space-group type   P4/nmm
Energy relative to the lowest polymorph listed for this composition   8.05 kcal/mol of atoms


[8]
Compound: HfFeSbAu
Source: the Open Quantum Materials Database
Functional: PBE
Structure: relaxed

Unit cell a=4.663 b=4.663 c=4.663 alpha=60.00 beta=60.00 gamma=60.00
Fractional positions:
1 Hf 0.000 0.000 0.000
2 Fe 0.750 0.750 0.750
3 Sb 0.500 0.500 0.500
4 Au 0.250 0.250 0.250

Results
ρ   12812 kg/m³
Volume   72 Å³/cell
Space-group type   F-43m
Energy relative to the lowest polymorph listed for this composition   1.35 kcal/mol of atoms


Number 1: energy -4.48 eV per atom. Number 2: energy -5.50 eV per atom. Number 3: energy -4.60 eV per atom. Number 4: energy -6.10 eV per atom. Number 5: energy -4.38 eV per atom. Number 6: energy -4.97 eV per atom. Number 7: energy -3.44 eV per atom. Number 8: energy -6.37 eV per atom.